[1]
VASP calculation (PBEsol) on a relaxed structure of Ta2CoW.

The structure in extended XYZ format:
```
4
Lattice="2.8047 0.0000 0.0000 1.4023 2.4289 0.0000 1.4023 0.8096 9.1494" Properties=species:S:1:pos:R:3 pbc="T T T"
Co 1.4023 0.8096 2.3455
Ta 4.2070 2.4289 0.2367
Ta 4.2070 2.4289 6.8154
W 2.8047 1.6193 4.3265
```

Calculated values
- Total magnetic moment: 0.13 μB/atom
- Crystal system: trigonal


[2]
VASP calculation (PBEsol) on a relaxed structure of MgNbFe2As.

The structure in extended XYZ format:
```
5
Lattice="4.5351 0.0000 0.0000 0.0000 4.5351 0.0000 0.0000 0.0000 4.9235" Properties=species:S:1:pos:R:3 pbc="T T T"
Mg 2.2676 2.2676 2.4618
Nb 0.0000 0.0000 0.0000
As 0.0000 0.0000 2.4618
Fe 0.0000 2.2676 0.0000
Fe 2.2676 0.0000 0.0000
```

Calculated values
- Total magnetic moment: 0.77 μB/atom
- Crystal system: tetragonal


[3]
VASP calculation (PBEsol) on a relaxed structure of GaAgSeS.

The structure in extended XYZ format:
```
8
Lattice="-0.9447 1.5988 5.3632 5.4016 -1.7387 1.4698 -0.3373 4.9871 -4.5489" Properties=species:S:1:pos:R:3 pbc="T T T"
S 1.9172 4.5849 -2.5304
S -0.4986 1.1317 4.0794
Ga -0.3958 4.9448 1.4595
Ga 1.3422 1.5711 2.7711
Se 0.6939 2.8844 0.8618
Se 2.9531 2.7623 4.1038
Ag 2.8377 3.4322 -0.5228
Ag 4.4551 -0.2536 0.8607
```

Calculated values
- Total magnetic moment: 0.00 μB/atom
- Crystal system: orthorhombic
- E_form (uncorrected): -0.46 eV per atom


[4]
VASP calculation (PBEsol) on a relaxed structure of TiB2RhBr.

The structure in extended XYZ format:
```
5
Lattice="-3.7024 -0.9737 -1.2121 1.4031 -3.4413 -1.5212 -0.7550 -2.0582 3.9596" Properties=species:S:1:pos:R:3 pbc="T T T"
B 0.7015 -1.7206 -0.7606
B -1.8512 -0.4869 -0.6061
Rh -1.5272 -3.2366 0.6131
Br 0.0000 0.0000 0.0000
Ti -0.3775 -1.0291 1.9798
```

Calculated values
- Total magnetic moment: 0.00 μB/atom
- Crystal system: tetragonal
- E_form (uncorrected): 1.89 eV per atom


[5]
VASP calculation (PBEsol) on a relaxed structure of ZrMo2Pt.

The structure in extended XYZ format:
```
4
Lattice="2.7323 0.0006 0.0000 -0.2827 2.7176 0.0000 0.0000 0.0000 8.8681" Properties=species:S:1:pos:R:3 pbc="T T T"
Mo 0.0000 0.0000 2.4037
Mo 0.0000 0.0000 6.4644
Pt 1.2248 1.3591 4.4340
Zr 1.2248 1.3591 0.0000
```

Calculated values
- Total magnetic moment: 0.00 μB/atom
- Crystal system: orthorhombic


[6]
VASP calculation (PBEsol) on a relaxed structure of ZrP2Br.

The structure in extended XYZ format:
```
4
Lattice="-3.0302 1.2933 -0.5832 -1.2243 -3.3194 -1.0002 -1.8709 -1.3416 6.7451" Properties=species:S:1:pos:R:3 pbc="T T T"
Br -2.5228 -0.9907 1.3130
P -2.7772 -4.1273 5.2764
P -3.9095 -3.2074 3.6019
Zr -1.5586 -2.0338 3.5876
```

Calculated values
- Total magnetic moment: 0.00 μB/atom
- Crystal system: orthorhombic
- E_form (uncorrected): -0.76 eV per atom


[7]
VASP calculation (PBEsol) on a relaxed structure of CsZr2TcCl.

The structure in extended XYZ format:
```
5
Lattice="4.4391 0.0000 0.0000 0.0000 4.9494 0.0000 0.0000 0.0000 4.9494" Properties=species:S:1:pos:R:3 pbc="T T T"
Cs 2.2196 2.4747 2.4747
Tc 2.2196 0.0000 0.0000
Zr 0.0000 0.0000 2.4747
Zr 0.0000 2.4747 0.0000
Cl 0.0000 0.0000 0.0000
```

Calculated values
- Total magnetic moment: 0.00 μB/atom
- Crystal system: tetragonal
- E_form (uncorrected): 0.85 eV per atom


[8]
VASP calculation (PBEsol) on a relaxed structure of B2Cl2O.

The structure in extended XYZ format:
```
5
Lattice="3.7540 0.0000 0.0000 0.0000 3.7540 0.0000 -1.8770 -1.8770 4.1010" Properties=species:S:1:pos:R:3 pbc="T T T"
B 0.0000 1.8770 2.0505
B 1.8770 0.0000 2.0505
O 0.0000 0.0000 0.0000
Cl 0.0000 0.0000 2.7203
Cl 1.8770 1.8770 1.3807
```

Calculated values
- Total magnetic moment: 0.00 μB/atom
- Crystal system: tetragonal
- E_form (uncorrected): 1.35 eV per atom


[9]
VASP calculation (PBEsol) on a relaxed structure of KSrYHg2.

The structure in extended XYZ format:
```
5
Lattice="5.7327 0.0000 0.0000 0.0000 5.7327 0.0000 0.0000 0.0000 6.3282" Properties=species:S:1:pos:R:3 pbc="T T T"
Y 0.0000 0.0000 0.0000
Sr 0.0000 0.0000 3.1641
K 2.8664 2.8664 3.1641
Hg 0.0000 2.8664 0.0000
Hg 2.8664 0.0000 0.0000
```

Calculated values
- Total magnetic moment: 0.00 μB/atom
- Crystal system: tetragonal


[10]
VASP calculation (PBEsol) on a relaxed structure of CeSm3.

The structure in extended XYZ format:
```
8
Lattice="5.7128 0.0000 0.0000 0.0000 7.0457 0.0000 0.0000 -3.5228 6.1017" Properties=species:S:1:pos:R:3 pbc="T T T"
Ce 4.2846 0.0000 4.0678
Ce 1.4282 3.5228 2.0339
Sm 1.4282 1.7493 5.0778
Sm 1.4282 0.0000 2.0479
Sm 1.4282 -1.7493 5.0778
Sm 4.2846 1.7736 1.0240
Sm 4.2846 3.5228 4.0538
Sm 4.2846 5.2721 1.0240
```

Calculated values
- Total magnetic moment: 0.00 μB/atom
- Crystal system: hexagonal


[11]
VASP calculation (PBEsol) on a relaxed structure of Ti2B.

The structure in extended XYZ format:
```
6
Lattice="-3.7719 -1.8502 1.8940 3.5359 -2.7620 -1.0521 1.6471 2.8874 3.1919" Properties=species:S:1:pos:R:3 pbc="T T T"
B -0.0590 -1.1530 0.2105
B -0.1770 -3.4591 0.6315
Ti 0.1387 0.3687 2.0587
Ti 1.2724 -2.0935 1.9751
Ti 3.0941 0.2538 2.2575
Ti -1.6830 -1.9786 1.7764
```

Calculated values
- Total magnetic moment: 0.00 μB/atom
- Crystal system: tetragonal


[12]
VASP calculation (PBEsol) on a relaxed structure of SiNiPb2.

The structure in extended XYZ format:
```
4
Lattice="4.9150 0.0000 0.0000 2.4575 4.2565 0.0000 2.4575 1.4188 4.0131" Properties=species:S:1:pos:R:3 pbc="T T T"
Ni 4.9150 2.8377 2.0065
Pb 0.0000 0.0000 0.0000
Pb 7.3724 4.2565 3.0098
Si 2.4575 1.4188 1.0033
```

Calculated values
- Total magnetic moment: 0.00 μB/atom
- Crystal system: cubic
- E_form (uncorrected): 0.60 eV per atom


[13]
VASP calculation (PBEsol) on a relaxed structure of CdGa2PF.

The structure in extended XYZ format:
```
5
Lattice="-0.8264 -2.2862 -3.5925 3.9907 -2.2766 0.5308 -2.1652 -3.2040 2.5371" Properties=species:S:1:pos:R:3 pbc="T T T"
P -0.4132 -1.1431 -1.7962
F 0.0000 0.0000 0.0000
Ga -1.0826 -1.6020 1.2685
Ga 1.9954 -1.1383 0.2654
Cd 0.4995 -3.8834 -0.2623
```

Calculated values
- Total magnetic moment: 0.00 μB/atom
- Crystal system: tetragonal
- E_form (uncorrected): -0.03 eV per atom


[14]
VASP calculation (PBEsol) on a relaxed structure of Ca2MnCr.

The structure in extended XYZ format:
```
4
Lattice="5.1153 0.0000 0.0000 2.5576 4.4299 0.0000 2.5576 1.4766 4.1766" Properties=species:S:1:pos:R:3 pbc="T T T"
Cr 5.1153 2.9533 2.0883
Ca 0.0000 0.0000 0.0000
Ca 2.5576 1.4766 1.0441
Mn 7.6729 4.4299 3.1324
```

Calculated values
- Total magnetic moment: 2.07 μB/atom
- Crystal system: cubic


[15]
VASP calculation (PBEsol) on a relaxed structure of Sr2AlIn.

The structure in extended XYZ format:
```
4
Lattice="3.9136 0.0000 0.0000 0.0000 5.5296 -0.0139 -1.9568 -2.7347 5.6545" Properties=species:S:1:pos:R:3 pbc="T T T"
Sr 0.0000 0.0033 0.2436
Sr 0.0000 2.7757 2.5222
Al 0.0000 0.0335 5.2598
In 1.9568 0.0124 3.2625
```

Calculated values
- Total magnetic moment: 0.00 μB/atom
- Crystal system: monoclinic


[16]
VASP calculation (PBEsol) on a relaxed structure of SrZrSn2Au.

The structure in extended XYZ format:
```
5
Lattice="5.1599 0.0000 0.0000 0.0000 5.5467 0.0000 0.0000 0.0000 5.5467" Properties=species:S:1:pos:R:3 pbc="T T T"
Sr 0.0000 0.0000 0.0000
Au 2.5799 0.0000 0.0000
Sn 0.0000 0.0000 2.7734
Sn 0.0000 2.7734 0.0000
Zr 2.5799 2.7734 2.7734
```

Calculated values
- Total magnetic moment: 0.00 μB/atom
- Crystal system: tetragonal


[17]
VASP calculation (PBEsol) on a relaxed structure of K4HfO4.

The structure in extended XYZ format:
```
18
Lattice="-0.9769 -5.1301 -3.8770 -2.3070 -5.1480 3.1972 -9.7426 0.2029 -0.5013" Properties=species:S:1:pos:R:3 pbc="T T T"
K -4.6442 -4.1088 -3.0477
K -8.3824 -5.9666 1.8666
K -3.7896 -6.8068 -1.0000
K -9.2370 -3.2685 -0.1811
K -2.1795 -5.1369 1.4934
K -10.8470 -4.9384 -2.6745
K -5.7400 -3.9565 0.3850
K -7.2865 -6.1189 -1.5661
Hf -3.0140 -2.1843 -0.7039
Hf -10.0126 -7.8910 -0.4772
O -4.3444 -1.6202 0.6134
O -8.6821 -8.4551 -1.7946
O -7.1466 -3.4456 -1.9279
O -5.8799 -6.6297 0.7468
O -3.1448 -4.1353 -0.7962
O -9.8817 -5.9401 -0.3849
O -1.2593 -1.5453 -0.1258
O -11.7672 -8.5300 -1.0553
```

Calculated values
- Total magnetic moment: 0.00 μB/atom
- Crystal system: triclinic
- E_form (uncorrected): -2.11 eV per atom


[18]
VASP calculation (PBEsol) on a relaxed structure of BaSnPSe2.

The structure in extended XYZ format:
```
5
Lattice="-2.6844 1.3884 -4.0937 -0.8322 -4.8946 -1.1144 -5.7960 0.1115 3.8384" Properties=species:S:1:pos:R:3 pbc="T T T"
P -4.6563 -1.6973 -0.6848
Ba -2.8980 0.0558 1.9192
Se -0.4161 -2.4473 -0.5572
Se -1.3422 0.6942 -2.0469
Sn 0.0000 0.0000 0.0000
```

Calculated values
- Total magnetic moment: 0.37 μB/atom
- Crystal system: tetragonal
- E_form (uncorrected): 0.28 eV per atom


[19]
VASP calculation (PBEsol) on a relaxed structure of CdAg2SnSe4.

The structure in extended XYZ format:
```
8
Lattice="4.2264 0.0000 0.0000 0.0000 6.9732 0.0222 0.0000 0.0192 7.3869" Properties=species:S:1:pos:R:3 pbc="T T T"
Se 2.1132 3.4676 2.5409
Se 0.0000 3.5355 6.1988
Se 2.1132 6.9251 4.8455
Se 0.0000 0.0221 1.2425
Sn 0.0000 2.5655 1.1677
Ag 2.1132 6.0648 2.4341
Ag 2.1132 2.4961 5.0841
Cd 0.0000 6.2371 6.1337
```

Calculated values
- Total magnetic moment: 0.00 μB/atom
- Crystal system: monoclinic
- E_form (uncorrected): -0.24 eV per atom


[20]
VASP calculation (PBEsol) on a relaxed structure of LiCu2F4.

The structure in extended XYZ format:
```
14
Lattice="3.1091 0.0377 0.0000 -0.4656 5.0600 0.0000 0.0000 0.0000 9.7828" Properties=species:S:1:pos:R:3 pbc="T T T"
Li 2.6350 0.9918 7.3371
Li 0.0085 4.1059 2.4457
Cu 0.7128 3.7063 9.0412
Cu 0.7128 3.7063 5.6329
Cu 1.9307 1.3913 4.1498
Cu 1.9307 1.3913 0.7416
F 0.6403 2.8600 3.7771
F 0.6403 2.8600 1.1142
F 0.7089 4.7782 7.3371
F 1.9346 0.3194 2.4457
F 2.0032 2.2376 8.6685
F 2.0032 2.2376 6.0056
F 0.0000 0.0000 4.8914
F 0.0000 0.0000 0.0000
```

Calculated values
- Total magnetic moment: 0.14 μB/atom
- Crystal system: monoclinic
- E_form (uncorrected): -1.74 eV per atom


[21]
VASP calculation (PBEsol) on a relaxed structure of Ca2AlH8S2ClO12F2.

The structure in extended XYZ format:
```
28
Lattice="6.8365 0.0000 0.0000 0.0000 6.8365 0.0000 -3.4183 -3.4183 6.5634" Properties=species:S:1:pos:R:3 pbc="T T T"
Ca 3.4183 3.4183 2.6128
Ca 0.0000 0.0000 3.9506
Al 0.0000 0.0000 0.0000
H 6.0943 2.3128 0.8186
H 0.7422 4.5237 0.8186
H 4.5237 6.0943 0.8186
H 2.3128 0.7422 0.8186
H -2.6761 1.1055 5.7448
H 2.6761 -1.1055 5.7448
H -1.1055 -2.6761 5.7448
H 1.1055 2.6761 5.7448
S 0.0000 3.4183 3.2817
S 3.4183 0.0000 3.2817
Cl 3.4183 3.4183 0.0000
O 1.1161 3.8833 2.4155
O -1.1161 2.9533 2.4155
O 2.9533 1.1161 2.4155
O 3.8833 -1.1161 2.4155
O 2.3022 -0.4650 4.1479
O 4.5344 0.4650 4.1479
O 0.4650 2.3022 4.1479
O -0.4650 4.5344 4.1479
O 6.4638 1.8794 0.0000
O 0.3727 4.9571 0.0000
O 4.9571 6.4638 0.0000
O 1.8794 0.3727 0.0000
F 3.4183 3.4183 4.7976
F 0.0000 0.0000 1.7658
```

Calculated values
- Total magnetic moment: 0.00 μB/atom
- Crystal system: tetragonal


[22]
VASP calculation (PBEsol) on a relaxed structure of CaZrCrRh2.

The structure in extended XYZ format:
```
5
Lattice="-3.1329 2.9777 -1.1936 0.9489 -0.7941 -4.4716 -3.1808 -3.3768 -0.0753" Properties=species:S:1:pos:R:3 pbc="T T T"
Cr -1.5664 1.4889 -0.5968
Ca 0.0000 0.0000 0.0000
Rh -1.5904 -1.6884 -0.0377
Rh 0.4744 -0.3970 -2.2358
Zr -2.6824 -0.5966 -2.8702
```

Calculated values
- Total magnetic moment: 0.77 μB/atom
- Crystal system: tetragonal


[23]
VASP calculation (PBEsol) on a relaxed structure of Cs2TlAuI6.

The structure in extended XYZ format:
```
10
Lattice="8.3402 0.0000 0.0000 4.1701 7.2229 0.0000 4.1701 2.4076 6.8098" Properties=species:S:1:pos:R:3 pbc="T T T"
Cs 12.5104 7.2229 5.1073
Cs 4.1701 2.4076 1.7024
I 8.3402 2.5033 1.7701
I 10.3424 5.9712 1.7701
I 8.3402 7.1272 5.0397
I 10.3424 3.6593 5.0397
I 6.3380 5.9712 1.7701
I 6.3380 3.6593 5.0397
Tl 0.0000 0.0000 0.0000
Au 8.3402 4.8152 3.4049
```

Calculated values
- Total magnetic moment: 0.00 μB/atom
- Crystal system: cubic
- E_form (uncorrected): -0.75 eV per atom


[24]
VASP calculation (PBEsol) on a relaxed structure of NbCuPb2I.

The structure in extended XYZ format:
```
5
Lattice="5.0607 0.0000 0.0000 0.0000 5.8990 0.0000 0.0000 0.0000 5.8990" Properties=species:S:1:pos:R:3 pbc="T T T"
Pb 0.0000 0.0000 2.9495
Pb 0.0000 2.9495 0.0000
I 0.0000 0.0000 0.0000
Nb 2.5304 0.0000 0.0000
Cu 2.5304 2.9495 2.9495
```

Calculated values
- Total magnetic moment: 0.35 μB/atom
- Crystal system: tetragonal
- E_form (uncorrected): 1.62 eV per atom


[25]
VASP calculation (PBEsol) on a relaxed structure of Fe2TeW.

The structure in extended XYZ format:
```
4
Lattice="-1.5096 -1.7528 2.0114 2.9369 0.9342 3.0184 -2.3621 3.4473 1.2313" Properties=species:S:1:pos:R:3 pbc="T T T"
Fe -0.0550 0.0803 0.0287
Fe -0.2450 2.9678 2.4024
Te -2.0968 1.0821 1.7052
W 0.2810 0.2221 2.7404
```

Calculated values
- Total magnetic moment: 0.77 μB/atom
- Crystal system: orthorhombic
- E_form (uncorrected): 0.47 eV per atom


[26]
VASP calculation (PBEsol) on a relaxed structure of NaCuCl3.

The structure in extended XYZ format:
```
5
Lattice="-3.4498 -0.6520 3.1176 -2.7705 -1.6530 -3.4114 1.5713 -4.3460 0.8298" Properties=species:S:1:pos:R:3 pbc="T T T"
Na -2.3245 -3.3255 0.2680
Cu 0.0000 0.0000 0.0000
Cl -1.3852 -0.8265 -1.7057
Cl 0.7856 -2.1730 0.4149
Cl -1.7249 -0.3260 1.5588
```

Calculated values
- Total magnetic moment: 0.00 μB/atom
- Crystal system: cubic
- E_form (uncorrected): -0.94 eV per atom


| no. | raw total energy (eV/atom) |
| --- | --- |
| 1 | -11.371 |
| 2 | -6.115 |
| 3 | -4.182 |
| 4 | -4.586 |
| 5 | -9.928 |
| 6 | -6.393 |
| 7 | -5.627 |
| 8 | -3.307 |
| 9 | -1.937 |
| 10 | -5.352 |
| 11 | -8.322 |
| 12 | -4.380 |
| 13 | -3.150 |
| 14 | -5.198 |
| 15 | -2.935 |
| 16 | -3.508 |
| 17 | -6.118 |
| 18 | -3.702 |
| 19 | -3.676 |
| 20 | -4.364 |
| 21 | -5.875 |
| 22 | -6.260 |
| 23 | -2.650 |
| 24 | -3.368 |
| 25 | -8.350 |
| 26 | -3.296 |